[1]
First-principles (GGA-PBE) data for Sr3AuN3 after structural relaxation, as listed in the Alexandria database.

```
Sr3AuN3
1.0
7.3185 0.0000 0.0000
0.0000 5.3614 0.0000
-1.8220 0.0000 7.3999
Sr Au N
6 2 6
Cartesian
-0.2080 1.3403 2.8431
-0.6150 1.3403 7.0694
2.2511 4.0210 2.3581
3.2453 1.3403 5.0418
6.1115 4.0210 0.3305
5.7044 4.0210 4.5568
1.3263 4.0210 6.0621
4.1701 1.3403 1.3378
-0.1852 4.0210 2.5623
-0.4744 4.0210 6.9487
2.4080 1.3403 2.2902
3.0885 4.0210 5.1097
5.9709 1.3403 0.4512
5.6817 1.3403 4.8377
```

Results
Formation energy without anion corrections, eV/atom: -0.286


[2]
First-principles (GGA-PBE) data for Sr8Au3N4 after structural relaxation, as listed in the Alexandria database.

```
Sr8Au3N4
1.0
5.8325 -5.8686 0.0000
5.8325 5.8686 0.0000
-5.4116 0.0000 5.9243
Sr Au N
8 3 4
Cartesian
-0.1309 0.0000 2.5568
-2.6711 0.0000 5.7236
5.8325 3.2391 0.0000
3.1267 3.2038 2.9621
3.1267 -3.2038 2.9621
5.8325 -3.2391 0.0000
8.9245 0.0000 0.2006
6.3843 0.0000 3.3675
0.2104 2.9343 2.9621
0.2104 -2.9343 2.9621
3.1267 0.0000 2.9621
0.0000 0.0000 0.0000
-2.7058 0.0000 2.9621
2.9163 2.9343 0.0000
2.9163 -2.9343 0.0000
```

Results
Formation energy without anion corrections, eV/atom: -0.384


[3]
First-principles (GGA-PBE) data for SrAuN after structural relaxation, as listed in the Alexandria database.

```
SrAuN
1.0
4.1052 0.0000 0.0000
-2.0358 3.7938 0.0000
-0.0001 -0.3503 8.6172
Sr Au N
2 2 2
Cartesian
0.0000 0.0000 0.0000
0.0167 2.1663 3.1980
2.0488 1.0138 6.5266
2.0662 3.4662 5.1720
2.0588 0.5312 1.8787
2.0645 1.6351 1.2939
```

Results
Formation energy without anion corrections, eV/atom: -0.472


[4]
First-principles (GGA-PBE) data for SrAuN after structural relaxation, as listed in the Alexandria database.

```
SrAuN
1.0
3.9498 0.0000 0.0000
-0.0389 5.2479 0.0000
-1.8404 -0.7087 6.1407
Sr Au N
2 2 2
Cartesian
0.0000 0.0000 0.0000
-0.0408 3.2079 2.5629
0.1197 1.8981 5.4307
2.0187 0.6847 3.1990
1.9340 4.6537 1.6207
2.0951 2.0733 4.8972
```

Results
Formation energy without anion corrections, eV/atom: -0.227